First-principles (PBE) data for a relaxed TbDySO2 crystal, as listed in the Open Quantum Materials Database. Values from VASP.

Cell and atoms, written as Quantum ESPRESSO input:
```
&SYSTEM
  ibrav = 0, nat = 5, ntyp = 4
/
ATOMIC_SPECIES
Tb 158.93 Tb.upf
Dy 162.50 Dy.upf
S 32.06 S.upf
O 16.00 O.upf
ATOMIC_POSITIONS crystal
Tb 0.000 0.000 0.000
Dy 0.667 0.333 0.436
S 0.333 0.667 0.717
O 0.000 0.000 0.349
O 0.667 0.333 0.090
CELL_PARAMETERS angstrom
3.800 0.000 0.000
-1.900 3.291 0.000
0.000 0.000 6.590
```

Computed properties:
- E (eV/atom) = -7.86

=====

First-principles (PBE) data for a relaxed Dy2ZnTe2S2O14 crystal, as listed in the Open Quantum Materials Database. Values from VASP.

Cell and atoms, written as Quantum ESPRESSO input:
```
&SYSTEM
  ibrav = 0, nat = 21, ntyp = 5
/
ATOMIC_SPECIES
Dy 162.50 Dy.upf
Zn 65.41 Zn.upf
Te 127.60 Te.upf
S 32.06 S.upf
O 16.00 O.upf
ATOMIC_POSITIONS crystal
Dy 0.070 0.253 0.015
Dy 0.930 0.747 0.985
Zn 0.000 0.000 0.500
Te 0.495 0.731 0.653
Te 0.505 0.269 0.347
S 0.253 0.748 0.256
S 0.747 0.252 0.744
O 0.133 0.581 0.256
O 0.137 0.759 0.442
O 0.185 0.921 0.090
O 0.250 0.561 0.890
O 0.260 0.936 0.663
O 0.275 0.195 0.242
O 0.454 0.269 0.775
O 0.546 0.731 0.225
O 0.725 0.805 0.758
O 0.740 0.064 0.337
O 0.750 0.439 0.110
O 0.815 0.079 0.910
O 0.863 0.241 0.558
O 0.867 0.419 0.744
CELL_PARAMETERS angstrom
5.212 0.000 0.000
0.678 7.709 0.000
2.277 3.396 6.858
```

Computed properties:
- E (eV/atom) = -6.39

=====

First-principles (PBE) data for a relaxed DyYSO2 crystal, as listed in the Open Quantum Materials Database. Values from VASP.

Cell and atoms, written as Quantum ESPRESSO input:
```
&SYSTEM
  ibrav = 0, nat = 5, ntyp = 4
/
ATOMIC_SPECIES
Dy 162.50 Dy.upf
Y 88.91 Y.upf
S 32.06 S.upf
O 16.00 O.upf
ATOMIC_POSITIONS crystal
Dy 0.000 0.000 0.000
Y 0.667 0.333 0.436
S 0.333 0.667 0.718
O 0.000 0.000 0.346
O 0.667 0.333 0.087
CELL_PARAMETERS angstrom
3.793 0.000 0.000
-1.897 3.285 0.000
0.000 0.000 6.586
```

Computed properties:
- E (eV/atom) = -8.21

=====

First-principles (PBE) data for a relaxed DySb2O4 crystal, as listed in the Open Quantum Materials Database. Values from VASP.

Cell and atoms, written as Quantum ESPRESSO input:
```
&SYSTEM
  ibrav = 0, nat = 14, ntyp = 3
/
ATOMIC_SPECIES
Dy 162.50 Dy.upf
Sb 121.76 Sb.upf
O 16.00 O.upf
ATOMIC_POSITIONS crystal
Dy 0.125 0.125 0.125
Dy 0.875 0.875 0.875
Sb 0.000 0.500 0.500
Sb 0.500 0.000 0.500
Sb 0.500 0.500 0.000
Sb 0.500 0.500 0.500
O 0.255 0.255 0.255
O 0.255 0.255 0.734
O 0.255 0.734 0.255
O 0.266 0.745 0.745
O 0.734 0.255 0.255
O 0.745 0.266 0.745
O 0.745 0.745 0.266
O 0.745 0.745 0.745
CELL_PARAMETERS angstrom
0.000 4.880 4.880
4.880 0.000 4.880
4.880 4.880 0.000
```

Computed properties:
- E (eV/atom) = -6.21

=====

First-principles (PBE) data for a relaxed Dy9Sb5O5 crystal, as listed in the Open Quantum Materials Database. Values from VASP.

Cell and atoms, written as Quantum ESPRESSO input:
```
&SYSTEM
  ibrav = 0, nat = 38, ntyp = 3
/
ATOMIC_SPECIES
Dy 162.50 Dy.upf
Sb 121.76 Sb.upf
O 16.00 O.upf
ATOMIC_POSITIONS crystal
Dy 0.024 0.167 0.002
Dy 0.045 0.646 0.657
Dy 0.146 0.955 0.343
Dy 0.167 0.476 0.002
Dy 0.250 0.250 0.671
Dy 0.333 0.024 0.002
Dy 0.354 0.545 0.343
Dy 0.455 0.854 0.657
Dy 0.476 0.333 0.002
Dy 0.524 0.667 0.998
Dy 0.545 0.146 0.343
Dy 0.646 0.455 0.657
Dy 0.667 0.976 0.998
Dy 0.750 0.750 0.329
Dy 0.833 0.524 0.998
Dy 0.854 0.045 0.657
Dy 0.955 0.354 0.343
Dy 0.976 0.833 0.998
Sb 0.055 0.654 0.302
Sb 0.154 0.945 0.698
Sb 0.250 0.250 0.318
Sb 0.346 0.555 0.698
Sb 0.445 0.846 0.302
Sb 0.555 0.154 0.698
Sb 0.654 0.445 0.302
Sb 0.750 0.750 0.682
Sb 0.846 0.055 0.302
Sb 0.945 0.346 0.698
O 0.026 0.630 0.913
O 0.130 0.974 0.087
O 0.250 0.250 0.936
O 0.370 0.526 0.087
O 0.474 0.870 0.913
O 0.526 0.130 0.087
O 0.630 0.474 0.913
O 0.750 0.750 0.064
O 0.870 0.026 0.913
O 0.974 0.370 0.087
CELL_PARAMETERS angstrom
9.830 0.000 0.000
0.000 9.830 0.000
0.000 0.000 8.835
```

Computed properties:
- E (eV/atom) = -6.76

=====

First-principles (PBE) data for a relaxed Sr2DySbO6 crystal, as listed in the Open Quantum Materials Database. Values from VASP.

Cell and atoms, written as Quantum ESPRESSO input:
```
&SYSTEM
  ibrav = 0, nat = 20, ntyp = 4
/
ATOMIC_SPECIES
Sr 87.62 Sr.upf
Dy 162.50 Dy.upf
Sb 121.76 Sb.upf
O 16.00 O.upf
ATOMIC_POSITIONS crystal
Sr 0.242 0.034 0.250
Sr 0.242 0.466 0.750
Sr 0.758 0.534 0.250
Sr 0.758 0.966 0.750
Dy 0.500 0.000 0.000
Dy 0.500 0.500 0.500
Sb 0.000 0.000 0.500
Sb 0.000 0.500 0.000
O 0.154 0.225 0.957
O 0.154 0.275 0.457
O 0.233 0.700 0.959
O 0.233 0.800 0.459
O 0.315 0.021 0.736
O 0.315 0.479 0.236
O 0.685 0.521 0.764
O 0.685 0.979 0.264
O 0.767 0.200 0.541
O 0.767 0.300 0.041
O 0.846 0.725 0.543
O 0.846 0.775 0.043
CELL_PARAMETERS angstrom
5.817 0.000 0.000
0.000 5.865 0.000
-5.785 0.000 8.248
```

Computed properties:
- E (eV/atom) = -6.87

=====

First-principles (PBE) data for a relaxed Dy2TmSbO6 crystal, as listed in the Open Quantum Materials Database. Values from VASP.

Cell and atoms, written as Quantum ESPRESSO input:
```
&SYSTEM
  ibrav = 0, nat = 20, ntyp = 4
/
ATOMIC_SPECIES
Dy 162.50 Dy.upf
Tm 168.93 Tm.upf
Sb 121.76 Sb.upf
O 16.00 O.upf
ATOMIC_POSITIONS crystal
Dy 0.018 0.682 0.877
Dy 0.318 0.982 0.623
Dy 0.682 0.018 0.377
Dy 0.982 0.318 0.123
Tm 0.299 0.701 0.250
Tm 0.701 0.299 0.750
Sb 0.000 0.500 0.500
Sb 0.500 0.000 0.000
O 0.088 0.275 0.887
O 0.155 0.734 0.442
O 0.266 0.845 0.058
O 0.275 0.088 0.387
O 0.279 0.414 0.714
O 0.414 0.279 0.214
O 0.586 0.721 0.786
O 0.721 0.586 0.286
O 0.725 0.912 0.613
O 0.734 0.155 0.942
O 0.845 0.266 0.558
O 0.912 0.725 0.113
CELL_PARAMETERS angstrom
5.253 -2.969 0.000
5.253 2.969 0.000
-3.856 0.000 9.085
```

Computed properties:
- E (eV/atom) = -7.59

=====

First-principles (PBE) data for a relaxed Dy2TmSbO6 crystal, as listed in the Open Quantum Materials Database. Values from VASP.

Cell and atoms, written as Quantum ESPRESSO input:
```
&SYSTEM
  ibrav = 0, nat = 10, ntyp = 4
/
ATOMIC_SPECIES
Dy 162.50 Dy.upf
Tm 168.93 Tm.upf
Sb 121.76 Sb.upf
O 16.00 O.upf
ATOMIC_POSITIONS crystal
Dy 0.248 0.245 0.474
Dy 0.752 0.755 0.526
Tm 0.000 0.500 0.000
Sb 0.500 0.000 0.000
O 0.178 0.652 0.735
O 0.255 0.239 0.090
O 0.409 0.850 0.253
O 0.591 0.150 0.747
O 0.745 0.761 0.910
O 0.822 0.348 0.265
CELL_PARAMETERS angstrom
5.170 0.000 0.000
-0.829 5.119 0.000
-1.555 -2.207 5.273
```

Computed properties:
- E (eV/atom) = -7.27